Density functional theory data (PBE) for an optimized crystal structure of Zn4Mo.

The value obtained for the formation energy is 1.066 eV/atom.

Unit cell a=5.0534 b=5.0534 c=5.0534 alpha=90.00 beta=90.00 gamma=90.00
Closest atoms and distances in Å follow each position.
Space group Pm-3m (No. 221)
Unique sites:
Zn 0.0000 0.0000 0.0000  12 Zn 3.57
Zn 0.0000 0.5000 0.5000  2 Mo 2.53
Mo 0.5000 0.5000 0.5000  6 Zn 2.53

Density functional theory data (PBE) for an optimized crystal structure of Ce2PuCd6.

The value obtained for the formation energy is -0.208 eV/atom.

Unit cell a=8.9602 b=8.9602 c=3.1628 alpha=90.00 beta=90.00 gamma=120.00
Closest atoms and distances in Å follow each position.
Space group P6/mmm (No. 191)
Unique sites:
Ce 0.3333 0.6667 0.0000  2 Ce 3.16, 12 Cd 3.38
Pu 0.0000 0.0000 0.0000  2 Pu 3.16, 12 Cd 3.37
Cd 0.0000 0.3324 0.5000  5 Cd 2.98-3.16

Density functional theory data (PBE) for an optimized crystal structure of Zr3Cu2Ni.

The value obtained for the formation energy is -0.191 eV/atom.

Unit cell a=4.6262 b=13.9043 c=3.2166 alpha=90.00 beta=90.00 gamma=90.00
Closest atoms and distances in Å follow each position.
Space group Cmmm (No. 65)
Unique sites:
Zr 0.0000 0.0000 0.0000  4 Ni 2.82, 4 Cu 2.93
Zr 0.0000 0.3397 0.0000  2 Ni 2.75, 6 Cu 2.78-2.83
Cu 0.0000 0.1765 0.5000  8 Zr 2.78-2.93, 2 Cu 3.09
Ni 0.0000 0.5000 0.5000  8 Zr 2.75-2.82